Entry from Alexandria via LeMat-Bulk: a relaxed MnAlOs2 crystal (PBE).

The structure belongs to space group R3m (No. 160, hexagonal axes); the cell edges are 2.7175, 2.7175 and 25.5038 Å and the angles 90.00°, 90.00° and 120.00°. The inequivalent atoms are Mn at (0.0000, 0.0000, 0.0000), Al at (0.0000, 0.0000, 0.2528), Os at (0.0000, 0.0000, 0.4999) and Os at (0.0000, 0.0000, 0.7448).

The total energy comes out at -0.32376 hartree per atom. For the density of states at the Fermi level, the calculation gives 4.68 states/eV/f.u.